Crystalline MnNbAl2Tl at its relaxed geometry, computed with PBE-GGA.

The structure belongs to space group P4/mmm (No. 123); the cell edges are 4.9613, 4.9613 and 5.4089 Å and the angles 90.00°, 90.00° and 90.00°. The asymmetric unit holds Mn at (0.0000, 0.0000, 0.0000), Nb at (0.5000, 0.5000, 0.0000), Al at (0.0000, 0.5000, 0.5000) and Tl at (0.5000, 0.5000, 0.5000).

For the calculated total energy, the calculation gives -21.16 eV/cell. For the formation energy, the calculation gives 1.586 eV/atom.

***

Crystalline GaFe3Ge at its relaxed geometry, computed with PBE-GGA.

The structure belongs to space group Pm-3m (No. 221); the cell edges are 4.4557, 4.4557 and 4.4557 Å and the angles 90.00°, 90.00° and 90.00°. The asymmetric unit holds Ga at (0.0000, 0.0000, 0.0000), Fe at (0.0000, 0.0000, 0.5000) and Ge at (0.5000, 0.5000, 0.5000).

For the calculated total energy, the calculation gives -28.16 eV/cell. For the formation energy, the calculation gives 0.974 eV/atom.

***

Crystalline NpV2S6 at its relaxed geometry, computed with PBE-GGA.

The structure belongs to space group C2/m (No. 12); the cell edges are 11.5129, 4.6523 and 7.9052 Å and the angles 90.00°, 122.06° and 90.00°. The asymmetric unit holds Np at (0.0000, 0.0000, 0.0000), V at (0.1915, 0.0000, 0.5752), S at (0.0313, 0.0000, 0.6923), S at (0.1473, 0.5000, 0.0771) and S at (0.2260, 0.5000, 0.6380).

For the calculated total energy, the calculation gives -127.11 eV/cell. The value obtained for the energy relative to the elements, uncorrected is -7.61 eV/f.u.

***

Crystalline CsRbAuC2 at its relaxed geometry, computed with PBE-GGA.

The structure belongs to space group P4/mmm (No. 123); the cell edges are 4.6078, 4.6078 and 5.9953 Å and the angles 90.00°, 90.00° and 90.00°. The asymmetric unit holds Cs at (0.0000, 0.0000, 0.0000), Rb at (0.5000, 0.5000, 0.0000), Au at (0.0000, 0.0000, 0.5000) and C at (0.0000, 0.5000, 0.5000).

For the calculated total energy, the calculation gives -13.26 eV/cell. For the formation energy, the calculation gives 2.057 eV/atom.